# 1
The following is a PBE calculation of a relaxed structure of PmMg2NbN4, from Alexandria.

```
PmMg2NbN4
1.0
7.301 0.000 0.000
0.000 6.088 0.000
0.000 0.000 5.386
Pm Mg Nb N
2 4 2 8
Direct
0.000 0.168 0.000
0.500 0.832 0.500
0.249 0.334 0.513
0.251 0.666 0.013
0.749 0.666 0.013
0.751 0.334 0.513
0.000 0.812 0.520
0.500 0.188 0.020
0.000 0.136 0.454
0.000 0.799 0.883
0.223 0.662 0.404
0.277 0.338 0.904
0.500 0.201 0.383
0.500 0.864 0.954
0.723 0.338 0.904
0.777 0.662 0.404
```

Magnetization, μB/cell: 0.00
Uncorrected formation energy, eV/atom: -1.09
Space-group type: Pmn2_1 (31)


# 2
The following is a PBE calculation of a relaxed structure of PrMg2NbN4, from Alexandria.

```
PrMg2NbN4
1.0
7.356 0.000 0.000
0.000 6.068 0.000
0.000 0.000 5.456
Pr Mg Nb N
2 4 2 8
Direct
0.000 0.169 0.000
0.500 0.831 0.500
0.249 0.334 0.514
0.251 0.666 0.014
0.749 0.666 0.014
0.751 0.334 0.514
0.000 0.809 0.519
0.500 0.191 0.019
0.000 0.135 0.459
0.000 0.792 0.879
0.220 0.661 0.398
0.280 0.339 0.898
0.500 0.208 0.379
0.500 0.865 0.959
0.720 0.339 0.898
0.780 0.661 0.398
```

Magnetization, μB/cell: 0.00
Uncorrected formation energy, eV/atom: -1.06
Space-group type: Pmn2_1 (31)


# 3
The following is a PBE calculation of a relaxed structure of Pu2MgNbN5, from Alexandria.

```
Pu2MgNbN5
1.0
1.659 -6.538 0.000
1.659 6.538 0.000
0.000 0.000 10.646
Pu Mg Nb N
4 2 2 10
Direct
0.086 0.914 0.500
0.145 0.855 0.122
0.855 0.145 0.622
0.914 0.086 0.000
0.464 0.536 0.293
0.536 0.464 0.793
0.219 0.781 0.849
0.781 0.219 0.349
0.066 0.934 0.907
0.270 0.730 0.507
0.300 0.700 0.238
0.377 0.623 0.851
0.493 0.507 0.606
0.507 0.493 0.106
0.623 0.377 0.351
0.700 0.300 0.738
0.730 0.270 0.007
0.934 0.066 0.407
```

Magnetization, μB/cell: 1.07
Uncorrected formation energy, eV/atom: -0.87
Space-group type: Cmc2_1 (36)


# 4
The following is a PBE calculation of a relaxed structure of PuMgNbN3, from Alexandria.

```
PuMgNbN3
1.0
5.677 0.000 0.000
0.000 3.298 0.000
-2.266 0.000 8.081
Pu Mg Nb N
2 2 2 6
Direct
0.163 0.250 0.194
0.837 0.750 0.806
0.282 0.750 0.537
0.718 0.250 0.463
0.351 0.250 0.856
0.649 0.750 0.144
0.020 0.250 0.681
0.241 0.750 0.986
0.486 0.750 0.337
0.514 0.250 0.663
0.759 0.250 0.014
0.980 0.750 0.319
```

Magnetization, μB/cell: 8.81
Uncorrected formation energy, eV/atom: -0.97
Space-group type: P2_1/m (11)